This record from Alexandria describes a relaxed Pu2GaCuAu6 crystal. The functional is PBE.

SG = P-1, No. 2
Fermi-level density of states = 3.558 states/eV per atom
Energy of formation = -0.200 eV per atom
Energy = -5.75 eV per atom

abc: 5.4776 6.7093 7.0937
angles: 79.57 67.37 65.97
With the nearest neighbours (Å) after each atom.
Sites, in units of the cell vectors:
Pu  0.2305  0.2496  0.2890  7 Au 3.13-3.26, 2 Cu 3.45
Pu  0.7695  0.7504  0.7110  7 Au 3.13-3.26, 2 Cu 3.45
Ga  0.0000  0.0000  0.0000  6 Au 2.62
Cu  0.5000  0.5000  0.5000  6 Au 2.61-2.68
Au  0.2172  0.7837  0.2816  1 Cu 2.61, 1 Ga 2.62, 2 Au 2.73-2.74
Au  0.2564  0.5902  0.8978  1 Ga 2.62, 1 Cu 2.68
Au  0.2841  0.2154  0.7190  1 Cu 2.61, 1 Ga 2.62, 2 Au 2.73-2.74
Au  0.7159  0.7846  0.2810  1 Cu 2.61, 1 Ga 2.62, 2 Au 2.73-2.74
Au  0.7436  0.4098  0.1022  1 Ga 2.62, 1 Cu 2.68
Au  0.7828  0.2163  0.7184  1 Cu 2.61, 1 Ga 2.62, 2 Au 2.73-2.74

---

This record from Alexandria describes a relaxed YPuH8Rh2 crystal. The functional is PBE.

SG = R-3m, No. 166
Fermi-level density of states = 0.933 states/eV per atom
Energy = -5.42 eV per atom

abc: 6.7939 6.7939 6.7939
angles: 39.20 39.20 39.20
With the nearest neighbours (Å) after each atom.
Sites, in units of the cell vectors:
Y  0.0000  0.0000  0.0000  14 H 2.51-2.58
Pu  0.5000  0.5000  0.5000  12 H 2.41-2.69
H  0.0876  0.5391  0.5391  1 Rh 1.69
H  0.1373  0.1373  0.1373  1 Rh 1.76
H  0.4609  0.4609  0.9124  1 Rh 1.69
H  0.4609  0.9124  0.4609  1 Rh 1.69
H  0.5391  0.0876  0.5391  1 Rh 1.69
H  0.5391  0.5391  0.0876  1 Rh 1.69
H  0.8627  0.8627  0.8627  1 Rh 1.76
H  0.9124  0.4609  0.4609  1 Rh 1.69
Rh  0.2310  0.2310  0.2310  4 H 1.69-1.76
Rh  0.7690  0.7690  0.7690  4 H 1.69-1.76

---

This record from Alexandria describes a relaxed KHoPbCl6 crystal. The functional is PBE.

SG = P-31c, No. 163
Fermi-level density of states = 0.000 states/eV per atom
Energy = -4.15 eV per atom

abc: 7.3039 7.3039 13.3731
angles: 90.00 90.00 120.00
With the nearest neighbours (Å) after each atom.
Sites, in units of the cell vectors:
K  0.0000  0.0000  0.0000  6 Cl 3.23
K  0.0000  0.0000  0.5000  6 Cl 3.23
Ho  0.3333  0.6667  0.2500  6 Cl 2.65
Ho  0.6667  0.3333  0.7500  6 Cl 2.65
Pb  0.3333  0.6667  0.7500  6 Cl 2.92
Pb  0.6667  0.3333  0.2500  6 Cl 2.92
Cl  0.0282  0.3783  0.1367  1 Ho 2.65, 1 Pb 2.92
Cl  0.0282  0.6499  0.3633  1 Ho 2.65, 1 Pb 2.92
Cl  0.3501  0.3783  0.3633  1 Ho 2.65, 1 Pb 2.92
Cl  0.3501  0.9718  0.1367  1 Ho 2.65, 1 Pb 2.92
Cl  0.3783  0.0282  0.6367  1 Ho 2.65, 1 Pb 2.92
Cl  0.3783  0.3501  0.8633  1 Ho 2.65, 1 Pb 2.92
Cl  0.6217  0.6499  0.1367  1 Ho 2.65, 1 Pb 2.92
Cl  0.6217  0.9718  0.3633  1 Ho 2.65, 1 Pb 2.92
Cl  0.6499  0.0282  0.8633  1 Ho 2.65, 1 Pb 2.92
Cl  0.6499  0.6217  0.6367  1 Ho 2.65, 1 Pb 2.92
Cl  0.9718  0.3501  0.6367  1 Ho 2.65, 1 Pb 2.92
Cl  0.9718  0.6217  0.8633  1 Ho 2.65, 1 Pb 2.92

---

This record from Alexandria describes a relaxed Sr3ScPd crystal. The functional is PBE.

SG = Pm-3m, No. 221
Fermi-level density of states = 1.172 states/eV per atom
Energy of formation = 0.039 eV per atom
Energy = -3.27 eV per atom

abc: 5.9009 5.9009 5.9009
angles: 90.00 90.00 90.00
With the nearest neighbours (Å) after each atom.
Sites, in units of the cell vectors:
Sr  0.0000  0.0000  0.5000  2 Pd 2.95
Sr  0.0000  0.5000  0.0000  2 Pd 2.95
Sr  0.5000  0.0000  0.0000  2 Pd 2.95
Sc  0.5000  0.5000  0.5000  12 Sr 4.17
Pd  0.0000  0.0000  0.0000  6 Sr 2.95

---

This record from Alexandria describes a relaxed BaAg3 crystal. The functional is PBE.

SG = Pm-3m, No. 221
Fermi-level density of states = 2.209 states/eV per atom
Energy of formation = 1.010 eV per atom
Energy = -1.61 eV per atom

abc: 6.5963 6.5963 6.5963
angles: 90.00 90.00 90.00
With the nearest neighbours (Å) after each atom.
Sites, in units of the cell vectors:
Ba  0.0000  0.0000  0.0000  6 Ag 3.30
Ag  0.0000  0.0000  0.5000  2 Ba 3.30
Ag  0.0000  0.5000  0.0000  2 Ba 3.30
Ag  0.5000  0.0000  0.0000  2 Ba 3.30

---

This record from Alexandria describes a relaxed KScW2 crystal. The functional is PBE.

SG = P2/m, No. 10
Fermi-level density of states = 1.098 states/eV per atom
Energy of formation = 0.947 eV per atom
Energy = -7.39 eV per atom

abc: 2.7948 4.8126 7.5107
angles: 90.00 95.32 90.00
With the nearest neighbours (Å) after each atom.
Sites, in units of the cell vectors:
K  0.0000  0.0000  0.0000  2 K 2.79
Sc  0.0000  0.0000  0.5000  2 Sc 2.79, 4 W 2.90
W  0.4437  0.5000  0.6559  1 W 2.39
W  0.5563  0.5000  0.3441  1 W 2.39